# BaCaWF7 (SCAN, single point on PBEsol structure)
data_BaCaWF7
_cell_length_a 5.7878
_cell_length_b 10.7893
_cell_length_c 9.5981
_cell_angle_alpha 90.00
_cell_angle_beta 90.05
_cell_angle_gamma 90.00
_symmetry_space_group_name_H-M 'P 1'
_symmetry_Int_Tables_number 1
loop_
_symmetry_equiv_pos_as_xyz
'x,y,z'
loop_
_atom_site_label
_atom_site_type_symbol
_atom_site_fract_x
_atom_site_fract_y
_atom_site_fract_z
_atom_site_occupancy
Ba1 Ba 0.2302 0.1517 0.0246 1
Ba2 Ba 0.2302 0.3483 0.5246 1
Ba3 Ba 0.7698 0.6517 0.4754 1
Ba4 Ba 0.7698 0.8483 0.9754 1
Ca1 Ca 0.1930 0.5723 0.1449 1
Ca2 Ca 0.1930 0.9277 0.6449 1
Ca3 Ca 0.8070 0.0723 0.3551 1
Ca4 Ca 0.8070 0.4277 0.8551 1
W1 W 0.3040 0.6571 0.7982 1
W2 W 0.3040 0.8429 0.2982 1
W3 W 0.6960 0.1571 0.7018 1
W4 W 0.6960 0.3429 0.2018 1
F1 F 0.0017 0.7410 0.7269 1
F2 F 0.0017 0.7590 0.2269 1
F3 F 0.0859 0.5202 0.3562 1
F4 F 0.0859 0.9798 0.8562 1
F5 F 0.1586 0.5081 0.9001 1
F6 F 0.1586 0.9919 0.4001 1
F7 F 0.1869 0.7329 0.9809 1
F8 F 0.1869 0.7671 0.4809 1
F9 F 0.3888 0.1051 0.6122 1
F10 F 0.3888 0.3949 0.1122 1
F11 F 0.4250 0.5602 0.6297 1
F12 F 0.4250 0.9398 0.1297 1
F13 F 0.4902 0.6968 0.2140 1
F14 F 0.4902 0.8032 0.7140 1
F15 F 0.5098 0.1968 0.2860 1
F16 F 0.5098 0.3032 0.7860 1
F17 F 0.5750 0.0602 0.8703 1
F18 F 0.5750 0.4398 0.3703 1
F19 F 0.6112 0.6051 0.8878 1
F20 F 0.6112 0.8949 0.3878 1
F21 F 0.8131 0.2329 0.5191 1
F22 F 0.8131 0.2671 0.0191 1
F23 F 0.8414 0.0081 0.5999 1
F24 F 0.8414 0.4919 0.0999 1
F25 F 0.9141 0.0202 0.1438 1
F26 F 0.9141 0.4798 0.6438 1
F27 F 0.9983 0.2410 0.7731 1
F28 F 0.9983 0.2590 0.2731 1
# ρ: 5.48 g/cm³
# space group: No. 14
# formation energy from raw total energies: -3.29 eV/atom


# BaCaFePd2 (SCAN, single point on PBEsol structure)
data_BaCaFePd2
_cell_length_a 5.0901
_cell_length_b 5.0901
_cell_length_c 4.9647
_cell_angle_alpha 90.00
_cell_angle_beta 90.00
_cell_angle_gamma 90.00
_symmetry_space_group_name_H-M 'P 1'
_symmetry_Int_Tables_number 1
loop_
_symmetry_equiv_pos_as_xyz
'x,y,z'
loop_
_atom_site_label
_atom_site_type_symbol
_atom_site_fract_x
_atom_site_fract_y
_atom_site_fract_z
_atom_site_occupancy
Ba1 Ba 0.0000 0.0000 0.0000 1
Ca1 Ca 0.5000 0.5000 0.5000 1
Fe1 Fe 0.5000 0.5000 0.0000 1
Pd1 Pd 0.0000 0.5000 0.5000 1
Pd2 Pd 0.5000 0.0000 0.5000 1
# ρ: 5.76 g/cm³
# space group: No. 123
# energy of formation: 0.49 eV/atom